Entry 1:
Er2BePt6 GGA-PBE optimized geometry; E_form = -756 meV per atom; calculated volume = 167.95 Å³/cell; D(E_F) = 4.0 states/eV/f.u.; E = -0.228 Ha/atom
1.0
-1.4262 -0.6818 -3.2975
6.7686 0.2166 -2.9724
-2.0408 -5.8656 4.1260
Pt Er Be
6 2 1
Cartesian
0.6097 -0.2986 -2.2297
1.6064 -1.9664 -0.2945
5.5726 -1.8395 -2.0362
4.7326 -0.1666 -4.0402
-2.2711 -4.4913 -0.1076
1.6951 -4.3644 -1.8493
2.8489 -2.0037 -2.8593
0.4527 -4.3271 0.7155
0.0000 0.0000 0.0000

=====

Entry 2:
ErBePt3 GGA-PBE optimized geometry; E_form = -845 meV per atom; calculated volume = 82.47 Å³/cell; D(E_F) = 3.2 states/eV/f.u.; E = -0.225 Ha/atom
1.0
4.3528 0.0000 0.0000
0.0000 4.3528 0.0000
0.0000 0.0000 4.3528
Pt Er Be
3 1 1
Cartesian
0.0000 0.0000 2.1764
2.1764 0.0000 0.0000
0.0000 2.1764 0.0000
2.1764 2.1764 2.1764
0.0000 0.0000 0.0000

=====

Entry 3:
ErBePt2 GGA-PBE optimized geometry; E_form = -672 meV per atom; calculated volume = 68.67 Å³/cell; D(E_F) = 1.7 states/eV/f.u.; E = -0.212 Ha/atom
1.0
-1.9128 -2.7744 -0.1271
0.0670 -0.2888 5.2969
-3.1941 2.3163 -2.4900
Be Pt Er
1 2 1
Cartesian
-0.9564 -1.3872 -0.0636
-1.1812 0.8116 0.0592
-3.8587 -1.5585 2.6205
-0.9229 -1.5316 2.5849

=====

> What is the calculated volume in the first record?

167.95 Å³/cell